Below is a relaxed TlPWO2 crystal, with properties calculated at the PBE with a Hubbard U level.

Summary:
total magnetic moment	1.2	Bohr magnetons per cell
ΔE to the lowest computed polymorph	0.0	kJ/mol of atoms
VASP energy	-29.35	eV/cell

a b c (Å): 3.967 3.967 5.289
angles (deg): 90.00 90.00 90.00
Space group P4/mmm (No. 123)
One atom of each set of equivalent atoms:
Tl: 0.000 0.000 0.000
P: 0.500 0.500 0.000
W: 0.500 0.500 0.500
O: 0.000 0.500 0.500